Record 1
First-principles (PBE-GGA) data for an optimized crystal structure of CaVRe3, as listed in the Alexandria database.

Calculated values
E_form: 3.17 eV/atom
energy relative to the lowest polymorph listed for this composition: 1895 meV per atom
crystal system: cubic
DFT total energy: -6.5204 eV/atom

a = 4.5325 Å, b = 4.5325 Å, c = 4.5325 Å
α = 90.00°, β = 90.00°, γ = 90.00°
Each line ends with the local moment (μB).
Fractional coordinates of all 5 atoms:
Re: 0.0000 0.5000 0.0000  -0.38
Re: 0.0000 0.0000 0.5000  -0.38
Re: 0.5000 0.0000 0.0000  -0.38
Ca: 0.0000 0.0000 0.0000  -0.06
V: 0.5000 0.5000 0.5000  1.60

Record 2
First-principles (PBE-GGA) data for an optimized crystal structure of RhSe2BrO, as listed in the Alexandria database.

Calculated values
energy relative to the lowest polymorph listed for this composition: 0 meV per atom
crystal system: tetragonal
DFT total energy: -3.4984 eV/atom

a = 4.0638 Å, b = 4.0638 Å, c = 6.1197 Å
α = 90.00°, β = 90.00°, γ = 90.00°
Each line ends with the local moment (μB).
Fractional coordinates of all 5 atoms:
O: 0.0000 0.0000 0.0000  0.02
Rh: 0.5000 0.5000 0.5000  1.26
Se: 0.0000 0.5000 0.0000  0.11
Se: 0.5000 0.0000 0.0000  0.11
Br: 0.0000 0.0000 0.5000  0.08

Record 3
First-principles (PBE-GGA) data for an optimized crystal structure of Ta3Re4, as listed in the Alexandria database.

Calculated values
E_form: 0.34 eV/atom
energy relative to the lowest polymorph listed for this composition: 477 meV per atom
crystal system: hexagonal
DFT total energy: -11.8489 eV/atom

a = 5.1612 Å, b = 5.1612 Å, c = 5.0727 Å
α = 90.00°, β = 90.00°, γ = 120.00°
Fractional coordinates of all 7 atoms:
Ta: 0.0000 0.5000 0.0000
Ta: 0.5000 0.5000 0.0000
Ta: 0.5000 0.0000 0.0000
Re: 0.0000 0.0000 0.2684
Re: 0.0000 0.0000 0.7316
Re: 0.6667 0.3333 0.5000
Re: 0.3333 0.6667 0.5000

- Among the records above, which one has the lowest energy relative to the lowest polymorph listed for this composition?
  RhSe2BrO

Repeat the second record exactly.
First-principles (PBE-GGA) data for an optimized crystal structure of RhSe2BrO, as listed in the Alexandria database.

Calculated values
energy relative to the lowest polymorph listed for this composition: 0 meV per atom
crystal system: tetragonal
DFT total energy: -3.4984 eV/atom

a = 4.0638 Å, b = 4.0638 Å, c = 6.1197 Å
α = 90.00°, β = 90.00°, γ = 90.00°
Each line ends with the local moment (μB).
Fractional coordinates of all 5 atoms:
O: 0.0000 0.0000 0.0000  0.02
Rh: 0.5000 0.5000 0.5000  1.26
Se: 0.0000 0.5000 0.0000  0.11
Se: 0.5000 0.0000 0.0000  0.11
Br: 0.0000 0.0000 0.5000  0.08

What did the third record say?
First-principles (PBE-GGA) data for an optimized crystal structure of Ta3Re4, as listed in the Alexandria database.

Calculated values
E_form: 0.34 eV/atom
energy relative to the lowest polymorph listed for this composition: 477 meV per atom
crystal system: hexagonal
DFT total energy: -11.8489 eV/atom

a = 5.1612 Å, b = 5.1612 Å, c = 5.0727 Å
α = 90.00°, β = 90.00°, γ = 120.00°
Fractional coordinates of all 7 atoms:
Ta: 0.0000 0.5000 0.0000
Ta: 0.5000 0.5000 0.0000
Ta: 0.5000 0.0000 0.0000
Re: 0.0000 0.0000 0.2684
Re: 0.0000 0.0000 0.7316
Re: 0.6667 0.3333 0.5000
Re: 0.3333 0.6667 0.5000

- Which of these has the highest DFT total energy?
  RhSe2BrO